BaUCu2As4, relaxed, DFT GGA-PBE; calculated volume = 182.8 Å³/f.u.; DFT total energy = -42.35 eV/cell; DFT formation energy = -0.2938 eV per atom; total moment = 0.173 μB per atom; symmetry = I222 (23)
1.0
-4.6568 0.3742 2.8951
-0.1810 -3.4805 5.3757
0.1090 4.1825 4.8518
As Ba Cu U
4 1 2 1
Cartesian
-2.4256 2.2715 4.2732
-2.1613 2.5568 8.5928
-4.3221 -1.3397 5.6205
-0.5487 -1.3363 7.7585
0.0000 0.0000 0.0000
-0.7424 0.3005 3.9840
-3.9864 0.7757 9.1385
-2.3644 0.5381 6.5612

---

Tc2PdI8, relaxed, DFT GGA-PBE; calculated volume = 480.2 Å³/f.u.; DFT total energy = -37.18 eV/cell; total moment = 0.553 μB per atom; symmetry = C2/m (12)
1.0
6.7838 -0.0997 -0.0756
-0.0205 8.3801 -0.8581
-0.0205 1.4301 8.3016
I Tc Pd
8 2 1
Cartesian
5.4523 1.6052 5.5609
4.6889 1.5541 1.1792
1.2907 8.1053 1.8070
1.2922 3.7998 2.8832
2.0541 8.1564 6.1888
5.4523 5.7878 0.0486
1.2907 3.9227 7.3193
5.4507 5.9107 4.4848
2.0989 1.8306 1.3890
4.6440 7.8799 5.9790
0.0000 0.0000 0.0000

---

TaBIN2, relaxed, DFT GGA-PBE; distance to the lowest polymorph of the same formula = 0 meV/atom; calculated volume = 94.0 Å³/f.u.; DFT total energy = -31.45 eV/cell; total moment = 0.000 μB per atom; symmetry = P4/mmm (123)
1.0
4.0011 0.0000 0.0000
0.0000 4.0011 0.0000
0.0000 0.0000 5.8720
Ta N I B
1 2 1 1
Cartesian
0.0000 0.0000 0.0000
0.0000 2.0006 0.0000
2.0006 0.0000 0.0000
0.0000 0.0000 2.9360
2.0006 2.0006 2.9360

---

K2YRe, relaxed, DFT GGA-PBE; distance to the lowest polymorph of the same formula = 546 meV/atom; calculated volume = 110.2 Å³/f.u.; DFT total energy = -15.79 eV/cell; DFT formation energy = 1.3283 eV per atom; total moment = 0.075 μB per atom; symmetry = R-3m (166)
1.0
13.1978 -0.0188 -0.0109
12.8333 3.0802 -0.0109
12.8333 1.5093 2.6851
Y K Re
1 2 1
Cartesian
29.1483 3.4281 1.9975
38.4566 4.5228 2.6353
19.8401 2.3334 1.3596
9.7161 1.1427 0.6658

---

Tb8DyHo5, relaxed, DFT GGA-PBE; calculated volume = 455.8 Å³/f.u.; DFT total energy = -60.95 eV/cell; DFT formation energy = 0.2561 eV per atom; total moment = 0.000 μB per atom; symmetry = I-4 (82)
1.0
8.0122 0.0000 -2.5345
-4.1020 6.7224 -2.9334
0.1918 0.0000 8.4013
Ho Tb Dy
5 8 1
Cartesian
-0.9969 2.1441 0.1017
4.1020 0.0000 2.9334
3.2745 6.0598 -3.2866
2.0504 0.6627 7.0946
3.8759 4.5783 1.9572
1.7866 4.0708 -0.8242
0.9982 6.1410 2.8880
3.8996 2.6517 4.8905
1.7368 1.7684 1.9569
4.8522 1.7098 0.2101
7.1575 0.5814 2.9444
-1.6887 4.9540 -1.9224
-2.3345 5.0127 1.5904
0.0959 3.3612 4.2007

---

Y2TlIr, relaxed, DFT GGA-PBE; distance to the lowest polymorph of the same formula = 397 meV/atom; calculated volume = 107.7 Å³/f.u.; DFT total energy = -49.98 eV/cell; DFT formation energy = -0.2091 eV per atom; total moment = 0.000 μB per atom; symmetry = I-42d (122)
1.0
-5.2440 -4.4573 -3.9849
4.5747 0.4214 -6.4916
1.3135 -4.8321 -4.2594
Y Tl Ir
4 2 2
Cartesian
0.9592 -5.1168 -7.4426
-2.1193 -3.7219 -4.1708
2.2741 -1.7211 -5.8163
0.1744 -7.1763 -12.0421
0.0000 0.0000 0.0000
-2.1326 -5.6537 -6.7413
-0.3347 -2.0180 -5.2382
2.7768 -3.2144 -7.9946

---

Sc3NbSi, relaxed, DFT GGA-PBE; distance to the lowest polymorph of the same formula = 0 meV/atom; calculated volume = 120.9 Å³/f.u.; DFT total energy = -32.28 eV/cell; total moment = 0.000 μB per atom; symmetry = Pm-3m (221)
1.0
4.9451 0.0000 0.0000
0.0000 4.9451 0.0000
0.0000 0.0000 4.9451
Si Sc Nb
1 3 1
Cartesian
0.0000 0.0000 0.0000
2.4725 0.0000 0.0000
0.0000 2.4725 0.0000
0.0000 0.0000 2.4725
2.4725 2.4725 2.4725

---

ZrMo2Br, relaxed, DFT GGA-PBE; distance to the lowest polymorph of the same formula = 0 meV/atom; calculated volume = 82.1 Å³/f.u.; DFT total energy = -31.42 eV/cell; total moment = 0.000 μB per atom; symmetry = R3m (160)
1.0
-0.2929 6.8280 5.9319
1.6803 4.7523 7.5158
2.9079 6.7718 5.2518
Br Mo Zr
1 2 1
Cartesian
3.2645 13.9478 14.2118
1.0914 4.6629 4.7511
4.2203 18.0313 18.3726
2.1622 9.2382 9.4131

---

TbIn2Au, relaxed, DFT GGA-PBE; calculated volume = 110.0 Å³/f.u.; DFT total energy = -13.21 eV/cell; DFT formation energy = 0.0424 eV per atom; total moment = 0.000 μB per atom; symmetry = R-3m (166)
1.0
-0.6283 0.1271 -3.4052
0.5172 -2.8079 -1.9632
-10.0158 -3.9395 -0.0620
Au In Tb
1 2 1
Cartesian
-5.0634 -3.3102 -2.7152
-3.1063 -3.5951 -4.8499
-7.0206 -3.0253 -0.5805
0.0000 0.0000 0.0000

---

DyTmPt6, relaxed, DFT GGA-PBE; calculated volume = 138.3 Å³/f.u.; DFT total energy = -53.83 eV/cell; DFT formation energy = -1.0641 eV per atom; total moment = 0.000 μB per atom; symmetry = P4/mmm (123)
1.0
4.1049 0.0000 0.0000
0.0000 4.1049 0.0000
0.0000 0.0000 8.2082
Tm Pt Dy
1 6 1
Cartesian
0.0000 0.0000 4.1041
2.0524 0.0000 2.0699
2.0524 0.0000 6.1383
0.0000 2.0524 2.0699
2.0524 2.0524 4.1041
2.0524 2.0524 0.0000
0.0000 2.0524 6.1383
0.0000 0.0000 0.0000

---

Cs4KNa5, relaxed, DFT GGA-PBE; calculated volume = 666.2 Å³/f.u.; DFT total energy = -10.83 eV/cell; DFT formation energy = 0.0279 eV per atom; total moment = 0.000 μB per atom; symmetry = P4/mmm (123)
1.0
-0.0256 -0.3729 -5.0937
3.1784 -3.9884 0.2760
-19.9908 -15.8436 1.2602
Cs Na K
4 5 1
Cartesian
-7.9507 -6.3013 0.5012
-3.8453 -3.0476 0.2424
-16.1455 -12.7960 1.0178
-12.0401 -9.5423 0.7590
-16.7838 -16.7319 -1.2515
-8.4190 -10.1024 -1.7788
-12.4971 -13.3345 -1.5217
-0.0542 -3.4730 -2.3061
-4.3409 -6.8704 -2.0358
0.0000 0.0000 0.0000

---

Sm3CuIr3, relaxed, DFT GGA-PBE; calculated volume = 150.1 Å³/f.u.; DFT total energy = -98.23 eV/cell; DFT formation energy = -0.6115 eV per atom; total moment = 0.000 μB per atom; symmetry = Cmcm (63)
1.0
4.2620 0.0000 0.0000
-2.1310 5.1352 0.0000
0.0000 0.0000 13.7169
Ir Sm Cu
6 6 2
Cartesian
2.1310 4.2810 8.0737
0.0000 0.8542 1.2152
2.1310 2.8365 10.2876
0.0000 2.2986 3.4292
0.0000 0.8542 5.6432
2.1310 4.2810 12.5016
0.0000 2.1172 12.3078
0.0000 5.0539 10.2876
2.1310 3.0180 1.4091
2.1310 0.0813 3.4292
0.0000 2.1172 8.2675
2.1310 3.0180 5.4494
2.1310 0.0000 6.8584
2.1310 0.0000 0.0000

---

CaPuOsO6, relaxed, DFT GGA-PBE; calculated volume = 127.7 Å³/f.u.; DFT total energy = -153.26 eV/cell; total moment = 0.062 μB per atom; symmetry = P-31c (163)
1.0
5.3576 0.0000 0.0000
-2.6788 4.6398 0.0000
0.0000 0.0000 10.2703
O Ca Os Pu
12 2 2 2
Cartesian
1.8036 2.9471 1.4523
1.0283 1.6043 3.6829
0.7753 4.5515 8.8180
4.3293 1.6043 1.4523
1.9035 0.0884 1.4523
3.4541 0.0884 3.6829
-0.8752 1.6927 6.5874
3.5540 2.9471 3.6829
-0.7753 4.5515 6.5874
-1.6505 3.0355 8.8180
1.6505 3.0355 6.5874
0.8752 1.6927 8.8180
0.0000 0.0000 5.1351
0.0000 0.0000 0.0000
2.6788 1.5466 2.5676
0.0000 3.0932 7.7027
0.0000 3.0932 2.5676
2.6788 1.5466 7.7027

---

HOsIO, relaxed, DFT GGA-PBE; distance to the lowest polymorph of the same formula = 411 meV/atom; calculated volume = 76.4 Å³/f.u.; DFT total energy = -19.97 eV/cell; total moment = 0.143 μB per atom; symmetry = Cm (8)
1.0
-1.8143 -2.0220 0.8877
-0.3969 -1.1356 -3.4054
4.5832 -6.2321 -0.3705
I H Os O
1 1 1 1
Cartesian
1.5787 -7.0942 -1.1435
1.7107 -2.9470 -0.6287
1.2626 -3.3096 -2.3706
-0.0536 -2.2204 -2.5809

---

KBeRh, relaxed, DFT GGA-PBE; distance to the lowest polymorph of the same formula = 0 meV/atom; calculated volume = 57.1 Å³/f.u.; DFT total energy = -12.09 eV/cell; DFT formation energy = 0.0287 eV per atom; total moment = 0.000 μB per atom; symmetry = I4mm (107)
1.0
-4.3871 -3.7718 2.1968
-2.9500 -5.4398 -0.0467
1.4491 -1.7128 2.2017
Rh Be K
1 1 1
Cartesian
-3.8093 -6.2008 2.1708
0.8275 -2.2427 2.1980
-1.4570 -4.1937 2.1846

---

AcMo6Se8, relaxed, DFT GGA-PBE; calculated volume = 328.2 Å³/f.u.; DFT total energy = -108.41 eV/cell; total moment = 0.000 μB per atom; symmetry = R-3 (148)
1.0
-1.3025 -0.2760 6.7704
6.6155 -1.3697 1.4036
1.4248 6.7113 0.7343
Mo Se Ac
6 8 1
Cartesian
3.4507 1.9361 6.2719
3.5135 0.7280 3.8309
5.2755 2.7110 4.4511
1.4623 2.3547 4.4573
3.2243 4.3377 5.0774
3.2871 3.1296 2.6365
1.6600 1.2481 2.1948
5.3705 0.3158 5.6087
5.0183 4.9847 3.2201
1.3673 4.7499 3.2997
1.7195 0.0810 5.6882
5.3347 1.5007 2.1466
5.0778 3.8177 6.7136
1.4031 3.5651 6.7617
0.0000 0.0000 0.0000

---

TlZnFe2, relaxed, DFT GGA-PBE; distance to the lowest polymorph of the same formula = 104 meV/atom; calculated volume = 62.4 Å³/f.u.; DFT total energy = -18.98 eV/cell; DFT formation energy = 0.3967 eV per atom; total moment = 1.265 μB per atom; symmetry = P2/m (10)
1.0
-0.1181 -1.2440 -3.5997
1.9695 -1.9456 0.6078
-2.2014 -5.6827 2.0360
Tl Zn Fe
1 1 2
Cartesian
-0.1170 -2.5291 -1.1389
-0.2330 -6.3432 0.1829
-2.0349 -5.5216 1.9749
-0.2825 -3.9752 1.3830

---

Sm2CuGe4Ir3, relaxed, DFT GGA-PBE; calculated volume = 184.6 Å³/f.u.; DFT total energy = -65.36 eV/cell; DFT formation energy = -0.6772 eV per atom; total moment = 0.000 μB per atom; symmetry = P-4m2 (115)
1.0
4.2747 0.0000 0.0000
0.0000 4.2747 0.0000
0.0000 0.0000 10.1024
Ge Ir Sm Cu
4 3 2 1
Cartesian
0.0000 0.0000 0.0000
2.1374 2.1374 0.0000
0.0000 2.1374 3.7292
2.1374 0.0000 6.3732
2.1374 0.0000 8.8141
0.0000 0.0000 5.0512
0.0000 2.1374 1.2883
0.0000 2.1374 7.6320
2.1374 0.0000 2.4704
2.1374 2.1374 5.0512

---

SrHfFe3, relaxed, DFT GGA-PBE; distance to the lowest polymorph of the same formula = 0 meV/atom; calculated volume = 113.4 Å³/f.u.; DFT total energy = -32.12 eV/cell; DFT formation energy = 0.9802 eV per atom; total moment = 1.302 μB per atom; symmetry = Pm-3m (221)
1.0
4.8404 0.0000 0.0000
0.0000 4.8404 0.0000
0.0000 0.0000 4.8404
Hf Fe Sr
1 3 1
Cartesian
0.0000 0.0000 0.0000
0.0000 2.4202 0.0000
2.4202 0.0000 0.0000
0.0000 0.0000 2.4202
2.4202 2.4202 2.4202

---

V2RhW2, relaxed, DFT GGA-PBE; distance to the lowest polymorph of the same formula = 0 meV/atom; calculated volume = 77.8 Å³/f.u.; DFT total energy = -98.45 eV/cell; DFT formation energy = 0.4536 eV per atom; total moment = 0.000 μB per atom; symmetry = P4/mbm (127)
1.0
-1.1000 -6.2374 3.3706
3.5379 2.4730 5.7309
-2.5880 1.0702 1.1359
V Rh W
4 2 4
Cartesian
-0.9741 -0.9499 2.6959
-1.0823 -3.7598 5.0969
0.8241 -1.7443 7.5414
0.9322 1.0656 5.1404
1.2190 -1.8822 4.5507
0.0000 0.0000 0.0000
1.2368 -3.9344 6.5250
2.6894 -0.1848 6.3018
-0.2515 -3.5796 2.7997
1.2011 0.1700 2.5765

---

MgBi, relaxed, DFT GGA-PBE; calculated volume = 56.2 Å³/f.u.; DFT total energy = -89.72 eV/cell; DFT formation energy = -0.0660 eV per atom; total moment = 0.000 μB per atom; symmetry = Fddd (70)
1.0
-0.9460 -4.7659 -6.9858
6.0647 -5.5898 2.9923
-8.6007 -6.3785 5.5163
Bi Mg
16 16
Cartesian
0.4429 -8.2130 -2.2308
-0.8927 -11.3161 5.2497
0.7729 -3.5313 -2.8782
0.5184 -7.6307 5.1357
4.3457 -6.8244 -1.1154
-2.9870 -7.2187 0.1466
-0.4951 -9.5155 1.3761
4.2782 -3.9433 2.1109
-6.8898 -8.6074 -0.9688
1.7864 -1.6466 0.8814
0.3754 -5.3319 0.9954
2.9347 -10.5098 -1.0014
-4.3980 -10.9041 0.2606
-2.1164 -3.0352 -0.2340
-3.0545 -4.3376 3.3728
-3.3845 -9.0193 4.0202
-2.7978 -13.4889 -0.2333
-1.1573 -5.6282 -1.7369
2.3481 -6.0402 3.2521
-1.5298 -7.5048 -4.4875
1.9756 -7.9167 0.5015
-5.3571 -8.3111 1.7635
-1.4543 -6.9224 2.8789
-4.5871 -4.6339 0.6406
-2.0278 -9.8118 -1.3562
-0.7598 -3.8276 -5.6105
-0.1862 -0.9383 -1.3753
-4.9596 -6.5105 -2.1101
-4.9847 -6.4345 4.5141
-2.4253 -11.6124 2.5174
2.3731 -6.1161 -3.3721
2.7456 -4.2396 -0.6214

---

AcAgS2O6, relaxed, DFT GGA-PBE; calculated volume = 161.7 Å³/f.u.; DFT total energy = -61.75 eV/cell; total moment = 0.000 μB per atom; symmetry = R-3 (148)
1.0
-4.3554 -3.0238 0.8648
0.4503 -4.6749 2.6084
-2.2966 0.4747 6.7796
O S Ag Ac
6 2 1 1
Cartesian
-3.5650 -4.5150 7.5338
-4.9298 -1.9055 5.8808
-4.5914 -5.2612 3.7536
-1.6104 -1.9628 6.4993
-2.6368 -2.7091 2.7191
-1.2720 -5.3186 4.3721
-1.6296 -1.5642 3.0103
-4.5722 -5.6598 7.2426
-3.1009 -3.6120 5.1265
0.0000 0.0000 0.0000

---

TcF4, relaxed, DFT GGA-PBE; distance to the lowest polymorph of the same formula = 65 meV/atom; calculated volume = 69.8 Å³/f.u.; DFT total energy = -54.85 eV/cell; total moment = 0.000 μB per atom; symmetry = P2/c (13)
1.0
-1.0943 2.1885 3.7692
-3.9814 -3.5542 -0.7141
3.0145 -4.0219 3.2105
F Tc
8 2
Cartesian
0.6523 -2.3697 3.7956
0.5417 -2.2498 6.3744
-0.8945 0.0583 4.6155
-0.8854 -5.0650 4.1877
-1.1668 -5.4458 1.6501
-1.1759 -0.3226 2.0779
-2.7136 -3.0179 2.4700
-2.6029 -3.1377 -0.1088
2.3970 -3.0159 3.7865
-0.4769 1.1826 3.1931